A relaxed structure of Tl2GaBi. Source: the Alexandria database, functional GGA-PBE.

Unit cell a=3.907 b=3.907 c=7.506 alpha=90.00 beta=90.00 gamma=90.00
Positions (direct):
Tl  0.000  0.000  0.231
Tl  0.000  0.000  0.769
Ga  0.500  0.500  0.000
Bi  0.500  0.500  0.500

Polymorph energy (0 for the lowest one) in meV/atom: 83
Space group: P4/mmm (123)

A relaxed structure of Sn8Pt2Au. Source: the Alexandria database, functional GGA-PBE.

Unit cell a=5.198 b=7.431 c=8.773 alpha=113.64 beta=92.63 gamma=94.83
Positions (direct):
Sn  0.139  0.273  0.134
Sn  0.193  0.825  0.184
Sn  0.233  0.920  0.686
Sn  0.250  0.437  0.595
Sn  0.750  0.563  0.405
Sn  0.767  0.080  0.314
Sn  0.807  0.175  0.816
Sn  0.861  0.727  0.866
Pt  0.265  0.635  0.381
Pt  0.735  0.365  0.619
Au  0.500  0.000  0.000

Space group: P-1 (2)

no.,final energy (eV per atom),DFT formation energy (eV/atom),calculated volume (Å³ per cell)
1,-2.819,0.09,114.6
2,-4.458,-0.15,308.2